A relaxed Ta2HgSb2 crystal. Source: Alexandria via LeMat-Bulk, functional PBE.

Cell lengths 7.6852, 7.6852, 3.6358 Å; angles 90.00, 90.00, 90.00 degrees
Sites, in units of the cell vectors:
Sb  0.6535  0.8465  0.5000
Hg  0.0000  0.0000  0.0000
Sb  0.3465  0.1535  0.5000
Ta  0.6373  0.1373  0.0000
Sb  0.1535  0.6535  0.5000
Sb  0.8465  0.3465  0.5000
Ta  0.1373  0.3627  0.0000
Hg  0.5000  0.5000  0.0000
Ta  0.3627  0.8627  0.0000
Ta  0.8627  0.6373  0.0000

Output
The calculation puts the formation energy from raw total energies at 0.10 eV per atom. The calculation puts the total magnetization at 0.00 μB per formula unit. As for the density of states at the Fermi level: 1.54 states/eV/f.u.

---

A relaxed GdErMgSc crystal. Source: Alexandria via LeMat-Bulk, functional PBE.

Cell lengths 5.3744, 5.3744, 5.3744 Å; angles 60.00, 60.00, 60.00 degrees
Sites, in units of the cell vectors:
Er  0.2500  0.2500  0.2500
Gd  0.7500  0.7500  0.7500
Mg  0.0000  0.0000  0.0000
Sc  0.5000  0.5000  0.5000

Output
The value obtained for the formation energy is 0.11 eV/f.u. The calculation puts the total magnetization at 7.18 μB per formula unit. As for the density of states at the Fermi level: 4.76 states/eV/f.u.